Below is Pr6NdCd5 after structural relaxation, with properties calculated at the PBE level.

a = 9.616 Å, b = 9.616 Å, c = 9.616 Å
α = 146.70°, β = 131.56°, γ = 60.05°
Sites, in units of the cell vectors:
Pr (0.070, 0.328, 0.742)
Pr (0.230, 0.000, 0.230)
Pr (0.414, 0.672, 0.742)
Pr (0.586, 0.328, 0.258)
Pr (0.770, 0.000, 0.770)
Pr (0.930, 0.672, 0.258)
Nd (0.500, 0.500, 0.000)
Cd (0.000, 0.500, 0.500)
Cd (0.169, 0.169, 0.000)
Cd (0.344, 0.844, 0.500)
Cd (0.656, 0.156, 0.500)
Cd (0.831, 0.831, 0.000)

ΔE_f, eV per atom: -0.225
Magnetization, μB per formula unit: 0.0
Energy, eV/atom: -3.393


Below is PmSb5 after structural relaxation, with properties calculated at the PBE level.

a = 8.619 Å, b = 8.619 Å, c = 4.507 Å
α = 90.00°, β = 90.00°, γ = 149.55°
Sites, in units of the cell vectors:
Pm (0.000, 0.000, 0.000)
Sb (0.157, 0.843, 0.500)
Sb (0.343, 0.657, 0.000)
Sb (0.500, 0.500, 0.500)
Sb (0.657, 0.343, 0.000)
Sb (0.843, 0.157, 0.500)

Energy relative to the elements, uncorrected, eV/atom: -0.251
Magnetization, μB per formula unit: 0.0
Energy, eV/atom: -4.478


Below is Pm5Al2In2 after structural relaxation, with properties calculated at the PBE level.

a = 9.220 Å, b = 9.220 Å, c = 7.885 Å
α = 90.00°, β = 90.00°, γ = 52.76°
Sites, in units of the cell vectors:
Pm (0.000, 0.000, 0.000)
Pm (0.058, 0.675, 0.680)
Pm (0.175, 0.558, 0.180)
Pm (0.325, 0.942, 0.680)
Pm (0.442, 0.825, 0.180)
Pm (0.500, 0.500, 0.500)
Pm (0.558, 0.175, 0.820)
Pm (0.675, 0.058, 0.320)
Pm (0.825, 0.442, 0.820)
Pm (0.942, 0.325, 0.320)
Al (0.115, 0.885, 0.386)
Al (0.385, 0.615, 0.886)
Al (0.615, 0.385, 0.114)
Al (0.885, 0.115, 0.614)
In (0.220, 0.220, 0.000)
In (0.280, 0.280, 0.500)
In (0.720, 0.720, 0.500)
In (0.780, 0.780, 0.000)

ΔE_f, eV per atom: -0.333
Magnetization, μB per formula unit: 0.0
Energy, eV/atom: -4.412


| no. | calculated density (g/cm3) |
| --- | --- |
| 1 | 7.12 |
| 2 | 7.38 |
| 3 | 6.28 |